The following is a PBE calculation of a geometry-optimized Ho3CdHg12 structure, from the Alexandria database.

crystal system = tetragonal
final energy = -1.3692 eV/atom
total magnetization = 0.00 μB/cell
energy of formation = -21.9 kJ/mol of atoms

Cell lengths 4.6541, 4.6541, 17.8240 Å; angles 90.00, 90.00, 90.00 degrees
Fractional positions:
Ho1 0.0000 0.0000 0.0000
Ho2 0.0000 0.0000 0.2583
Ho3 0.0000 0.0000 0.7417
Cd1 0.0000 0.0000 0.5000
Hg1 0.0000 0.5000 0.1262
Hg2 0.0000 0.5000 0.3772
Hg3 0.0000 0.5000 0.6228
Hg4 0.0000 0.5000 0.8738
Hg5 0.5000 0.0000 0.1262
Hg6 0.5000 0.0000 0.3772
Hg7 0.5000 0.0000 0.6228
Hg8 0.5000 0.0000 0.8738
Hg9 0.5000 0.5000 0.0000
Hg10 0.5000 0.5000 0.2492
Hg11 0.5000 0.5000 0.5000
Hg12 0.5000 0.5000 0.7508